No. 1
Material: DyYBr2NCl
Method: DFT, PBE
State: relaxed

The relative energy among the computed polymorphs comes out at 0.000 eV/atom. Its spin magnetization is 0.00 μB/cell. The calculation puts the electronic total energy at -6.034 eV per atom.

Structure (POSCAR):
```
DyYBr2NCl
1.0
-6.597 -4.959 -3.431
-3.453 -6.496 -5.075
4.283 -2.039 10.092
Br Cl Dy N Y
4 2 2 2 2
Cartesian
-6.613 -7.672 -5.473
0.572 -1.030 2.056
-6.338 -12.464 -0.470
0.847 -5.822 7.059
-6.299 -9.876 -2.812
0.533 -3.618 4.399
-3.853 -7.569 -0.293
-1.913 -5.925 1.879
-2.814 -5.595 -0.151
-2.952 -7.899 1.738
-7.794 -10.360 -5.218
2.028 -3.134 6.804
```


No. 2
Material: LuTe3PbAu
Method: DFT, PBE
State: relaxed

The relative energy among the computed polymorphs comes out at 0.009 eV/atom. Its spin magnetization is 0.01 μB/cell. The calculation puts the electronic total energy at -4.154 eV per atom.

Structure (POSCAR):
```
LuTe3PbAu
1.0
10.385 0.000 0.000
0.000 4.407 0.000
0.000 0.000 16.532
Au Lu Pb Te
4 4 4 12
Cartesian
2.357 3.305 2.810
7.549 3.305 5.456
2.836 1.102 11.076
8.029 1.102 13.722
8.612 3.305 0.438
3.420 3.305 7.828
6.966 1.102 8.704
1.773 1.102 16.094
4.517 1.102 3.276
9.710 1.102 4.990
0.675 3.305 11.542
5.868 3.305 13.256
3.619 3.305 0.470
10.205 1.102 1.831
6.737 3.305 2.952
1.544 3.305 5.314
5.013 1.102 6.436
8.812 3.305 7.796
1.573 1.102 8.736
5.372 3.305 10.097
8.841 1.102 11.219
3.648 1.102 13.580
0.180 3.305 14.702
6.766 1.102 16.062
```


Q: What is the spin magnetization in the second record?
A: 0.01 μB/cell


Please write out number 1 again, unchanged.
Material: DyYBr2NCl
Method: DFT, PBE
State: relaxed

The relative energy among the computed polymorphs comes out at 0.000 eV/atom. Its spin magnetization is 0.00 μB/cell. The calculation puts the electronic total energy at -6.034 eV per atom.

Structure (POSCAR):
```
DyYBr2NCl
1.0
-6.597 -4.959 -3.431
-3.453 -6.496 -5.075
4.283 -2.039 10.092
Br Cl Dy N Y
4 2 2 2 2
Cartesian
-6.613 -7.672 -5.473
0.572 -1.030 2.056
-6.338 -12.464 -0.470
0.847 -5.822 7.059
-6.299 -9.876 -2.812
0.533 -3.618 4.399
-3.853 -7.569 -0.293
-1.913 -5.925 1.879
-2.814 -5.595 -0.151
-2.952 -7.899 1.738
-7.794 -10.360 -5.218
2.028 -3.134 6.804
```